4
Lattice="-2.738 1.817 -2.791 0.686 -0.364 -4.241 -2.591 -2.474 -2.399" Properties=species:S:1:pos:R:3 comment="ZnTcGeIr PBE-GGA optimized geometry" ef_ev_per_atom=-0.07 pbc="T T T"
Ir -2.322 -0.510 -4.715
Zn -3.482 -0.765 -7.073
Ge -1.161 -0.255 -2.358
Tc 0.000 0.000 0.000

=====

4
Lattice="-1.367 3.874 -1.821 -3.898 0.183 -2.229 -3.496 2.202 1.766" Properties=species:S:1:pos:R:3 comment="ZrTcGeIr PBE-GGA optimized geometry" ef_ev_per_atom=-0.48 pbc="T T T"
Tc -2.190 1.565 -0.571
Zr 0.000 0.000 0.000
Ir -6.571 4.695 -1.713
Ge -4.381 3.130 -1.142

=====

8
Lattice="-4.336 -3.433 -2.243 -1.842 -1.287 5.529 -6.768 2.369 1.518" Properties=species:S:1:pos:R:3 comment="Ge2TeIr PBE-GGA optimized geometry" formation_energy_uncorrected_ev_per_atom=0.097 pbc="T T T"
Te -5.849 -0.639 4.345
Te -3.089 -2.360 1.643
Ge -4.926 -1.947 -0.483
Ge -7.268 0.094 1.996
Ge -3.091 -0.408 3.707
Ge -10.606 -2.440 4.389
Ir 0.000 0.000 0.000
Ir -7.097 -1.712 0.459

=====

5
Lattice="-4.156 1.912 -0.675 -1.307 -3.703 -2.442 -1.550 -2.004 3.868" Properties=species:S:1:pos:R:3 comment="GeTeIr3 PBE-GGA optimized geometry" formation_energy_uncorrected_ev_per_atom=1.060 de_polymorph_kj_per_mol_atoms=0.0 pbc="T T T"
Te -3.506 -1.897 0.376
Ir -2.078 0.956 -0.338
Ir -0.775 -1.002 1.934
Ir -0.653 -1.851 -1.221
Ge 0.000 0.000 0.000

=====

Calculated spin magnetization, 0.00, 0.00, 0.00, 0.81 μB per formula unit (same order as the records).
Calculated total DFT energy (no corrections), -25.4, -34.3, -20.8, -29.0 eV/f.u. (same order as the records).